First-principles (PBE-GGA) data for a geometry-optimized Ac12SnGe7 structure, as listed in Alexandria.

Results
ρ in Mg/m³: 7.49
Magnetic moment in μB/atom: 0.0000
Density of states at the Fermi level in states/eV per cell: 61.7
Energy of formation from the pure elements in eV per atom: -0.3838

a = 16.4111 Å, b = 16.4111 Å, c = 9.5611 Å
α = 90.00°, β = 90.00°, γ = 120.00°
With the nearest neighbours (Å) after each atom.
Space group R-3 (No. 148, hexagonal axes)
Inequivalent atoms, fractional coordinates:
Ac: 0.0243 0.5840 0.3082 (multiplicity 18)  3 Ge 3.08-3.19
Ac: 0.0439 0.8767 0.2638 (multiplicity 18)  4 Ge 3.21-3.36, 1 Sn 3.53
Sn: 0.0000 0.0000 0.0000 (multiplicity 3)  6 Ge 3.04
Ge: 0.0000 0.0000 0.5000 (multiplicity 3)  6 Ac 3.34
Ge: 0.0538 0.8542 0.9164 (multiplicity 18)  1 Sn 3.04, 6 Ac 3.08-3.36, 2 Ge 3.34